No. 1
PmSm6Y4 after structural relaxation, computed with PBE.

Lattice parameters (Å, degrees): 6.6915 6.6915 17.1482 90.00 90.00 90.00
Closest atoms and distances in Å follow each position.
Space group I-42m (No. 121)
Unique sites:
Pm (0.0000, 0.0000, 0.0000) x2  8 Sm 3.35-3.48
Sm (0.0000, 0.5000, 0.0000) x4  4 Y 3.30, 2 Pm 3.35
Sm (0.1879, 0.1879, 0.1746) x8  5 Y 3.39-3.61, 1 Pm 3.48, 1 Sm 3.56
Y (0.1788, 0.1788, 0.3720) x8  7 Sm 3.30-3.61, 1 Y 3.38

***

No. 2
Pm2Sm2Y5 after structural relaxation, computed with PBE.

Lattice parameters (Å, degrees): 15.0541 11.8644 6.8333 90.00 90.00 90.00
Closest atoms and distances in Å follow each position.
Space group Ima2 (No. 46)
Unique sites:
Pm (0.1273, 0.0032, 0.0000) x8  4 Y 3.36-3.63, 2 Sm 3.58-3.63, 1 Pm 3.69
Sm (0.0000, 0.0000, 0.4506) x4  4 Y 3.28-3.61, 2 Pm 3.63
Sm (0.2500, 0.5103, 0.0518) x4  4 Y 3.42-3.66, 2 Pm 3.58
Y (0.0527, 0.2434, 0.6457) x8  4 Y 3.22-3.42, 1 Sm 3.28, 1 Pm 3.36
Y (0.1429, 0.7350, 0.8313) x8  4 Y 3.22-3.44, 1 Pm 3.39, 1 Sm 3.46
Y (0.2500, 0.2476, 0.8465) x4  6 Y 3.27-3.61, 2 Sm 3.42-3.66, 2 Pm 3.59

***

No. 3
Pm6Sm2Y after structural relaxation, computed with PBE.

Lattice parameters (Å, degrees): 16.5987 11.8334 6.2474 90.00 96.11 90.00
Closest atoms and distances in Å follow each position.
Space group C2/c (No. 15)
Unique sites:
Pm (0.0472, 0.1399, 0.0139) x8  4 Pm 3.35-3.66, 3 Sm 3.46-3.57, 1 Y 3.56
Pm (0.1181, 0.3577, 0.3195) x8  4 Pm 3.35-3.67, 2 Y 3.46-3.53, 2 Sm 3.53-3.59
Pm (0.2129, 0.3622, 0.8489) x8  4 Pm 3.41-3.67, 3 Sm 3.44-3.56, 1 Y 3.55
Sm (0.1669, 0.0996, 0.5846) x8  8 Pm 3.44-3.59
Y (0.0000, 0.4016, 0.7500) x4  8 Pm 3.46-3.56

***

No. 4
Pm8Sm2Y3 after structural relaxation, computed with PBE.

Lattice parameters (Å, degrees): 6.2869 6.2896 11.4774 89.95 79.43 80.42
Closest atoms and distances in Å follow each position.
Space group P-1 (No. 2)
Unique sites:
Pm (0.0378, 0.0781, 0.3472) x2  5 Y 3.61-3.63, 6 Pm 3.61-3.64, 1 Sm 3.63
Pm (0.1926, 0.3839, 0.7298) x2  4 Y 3.61-3.63, 6 Pm 3.62-3.63, 2 Sm 3.63-3.65
Pm (0.3460, 0.6924, 0.1163) x2  1 Y 3.63, 7 Pm 3.63-3.65, 4 Sm 3.63-3.64
Pm (0.4227, 0.8460, 0.8062) x2  2 Y 3.61-3.63, 7 Pm 3.62-3.65, 3 Sm 3.63-3.65
Sm (0.1151, 0.2306, 0.0393) x2  10 Pm 3.63-3.65, 2 Sm 3.63-3.64
Y (0.2692, 0.5391, 0.4238) x2  8 Pm 3.61-3.63, 4 Y 3.62-3.63
Y (0.5000, 0.0000, 0.5000) x1  8 Pm 3.61-3.63, 4 Y 3.63

***

Results for total energy: -110.82; -197.24; -174.65; -66.64 (in eV per cell, following the order of the records).
Results for energy above the most stable polymorph in this dataset: 28; 202; 30; 0 (in meV/atom, following the order of the records).